TaMnP2 | PBE | optimized geometry

abc: 3.8334 3.8334 16.1919
angles: 90.00 90.00 90.00
Space group I-42d (No. 122)
Unique sites:
Ta 0.0000 0.0000 0.0000 [4 per cell]
Mn 0.0000 0.0000 0.5000 [4 per cell]
P 0.1912 0.2500 0.6250 [8 per cell]

Calculated values
size of the total moment	6.4	μB/cell
formation energy from the elements	-0.02	eV per formula unit
density	8.3	g cm⁻³
relative energy among the computed polymorphs	0.6111	eV/atom


Li2CoTeIr | PBE | optimized geometry

abc: 4.2205 4.2205 4.6220
angles: 90.00 90.00 90.00
Space group P4/mmm (No. 123)
Unique sites:
Li 0.0000 0.5000 0.0000 [2 per cell]
Co 0.0000 0.0000 0.0000 [1 per cell]
Te 0.0000 0.0000 0.5000 [1 per cell]
Ir 0.5000 0.5000 0.5000 [1 per cell]

Calculated values
size of the total moment	0.6	μB/cell
energy relative to the elements, uncorrected	0.580	eV/atom
density	7.9	g cm⁻³


CuAgIrCl6 | PBE | optimized geometry

abc: 5.9231 5.9231 11.2961
angles: 90.00 90.00 90.00
Space group P4_2nm (No. 102)
Unique sites:
Cu 0.0000 0.0000 0.0000 [2 per cell]
Ag 0.0000 0.0000 0.3302 [2 per cell]
Ir 0.0000 0.0000 0.6687 [2 per cell]
Cl 0.1814 0.1814 0.8296 [4 per cell]
Cl 0.1955 0.1955 0.5172 [4 per cell]
Cl 0.2169 0.2169 0.1609 [4 per cell]

Calculated values
size of the total moment	1.5	μB/cell
energy relative to the elements, uncorrected	-0.407	eV/atom
density	4.8	g cm⁻³


LiNp3Tl3Se8 | PBE | optimized geometry

abc: 14.3449 8.2628 9.0877
angles: 90.00 121.78 90.00
Space group C2/m (No. 12)
Unique sites:
Li 0.0000 0.0000 0.0000 [2 per cell]
Np 0.0000 0.5000 0.0000 [2 per cell]
Np 0.2500 0.2500 0.0000 [4 per cell]
Tl 0.0000 0.0000 0.5000 [2 per cell]
Tl 0.2500 0.2500 0.5000 [4 per cell]
Se 0.0195 0.2561 0.8022 [8 per cell]
Se 0.2368 0.5000 0.2078 [4 per cell]
Se 0.2384 0.0000 0.1970 [4 per cell]

Calculated values
size of the total moment	5.8	μB/cell
energy relative to the elements, uncorrected	-0.866	eV/atom
density	7.1	g cm⁻³


HoPaSn2 | PBE | optimized geometry

abc: 7.5139 7.5139 7.5139
angles: 90.00 90.00 90.00
Space group Fm-3m (No. 225)
Unique sites:
Ho 0.0000 0.0000 0.0000 [4 per cell]
Pa 0.0000 0.0000 0.5000 [4 per cell]
Sn 0.2500 0.2500 0.2500 [8 per cell]

Calculated values
size of the total moment	6.3	μB/cell
formation energy from the elements	-1.11	eV per formula unit
density	9.9	g cm⁻³
relative energy among the computed polymorphs	0.1006	eV/atom


Ir2AuCl | PBE | optimized geometry

abc: 2.8529 3.7196 6.0250
angles: 90.00 90.00 90.00
Space group Pmmm (No. 47)
Unique sites:
Ir 0.0000 0.0000 0.2394 [2 per cell]
Au 0.5000 0.5000 0.5000 [1 per cell]
Cl 0.5000 0.5000 0.0000 [1 per cell]

Calculated values
size of the total moment	0.0	μB/cell
energy relative to the elements, uncorrected	1.012	eV/atom
density	16.0	g cm⁻³
relative energy among the computed polymorphs	0.6864	eV/atom